1.
DFT (GGA-PBE) results for RbAlAgSn2 after structural relaxation.

Lattice parameters (Å, degrees): 5.378 5.378 6.076 90.00 90.00 90.00
Space group P4/mmm (No. 123)
Asymmetric unit:
Rb (0.000, 0.000, 0.000)
Al (0.500, 0.500, 0.000)
Ag (0.000, 0.000, 0.500)
Sn (0.000, 0.500, 0.500)

Values from the calculation:
Total moment ... 0.00 μB/cell
Energy of formation from the pure elements ... 486 meV/atom
Calculated total energy ... -13.14 eV per formula unit


2.
DFT (GGA-PBE) results for ZrPaVC3 after structural relaxation.

Lattice parameters (Å, degrees): 7.025 3.420 7.562 90.00 100.25 90.00
Space group P2_1/m (No. 11)
Asymmetric unit:
Zr (0.143, 0.250, 0.151)
Pa (0.328, 0.750, 0.812)
V (0.393, 0.750, 0.403)
C (0.095, 0.250, 0.846)
C (0.319, 0.250, 0.497)
C (0.392, 0.750, 0.143)

Values from the calculation:
Total moment ... 0.00 μB/cell
Energy of formation from the pure elements ... -229 meV/atom
Calculated total energy ... -56.21 eV per formula unit


3.
DFT (GGA-PBE) results for PmHo5Te8 after structural relaxation.

Lattice parameters (Å, degrees): 12.809 12.809 12.809 90.00 90.00 90.00
Space group F-43m (No. 216)
Asymmetric unit:
Pm (0.000, 0.000, 0.000)
Ho (0.124, 0.124, 0.376)
Ho (0.250, 0.250, 0.750)
Te (0.118, 0.118, 0.618)
Te (0.135, 0.135, 0.135)

Values from the calculation:
Total moment ... 0.00 μB/cell
Calculated total energy ... -69.82 eV per formula unit


4.
DFT (GGA-PBE) results for KSbO after structural relaxation.

Lattice parameters (Å, degrees): 3.527 3.527 5.838 90.00 90.00 90.00
Space group P4mm (No. 99)
Asymmetric unit:
K (0.000, 0.000, 0.000)
Sb (0.500, 0.500, 0.506)
O (0.500, 0.500, 0.839)

Values from the calculation:
Total moment ... 0.00 μB/cell
Calculated total energy ... -13.21 eV per formula unit
ΔE to the lowest computed polymorph ... 46 meV/atom


5.
DFT (GGA-PBE) results for SrLi2Nb2O7 after structural relaxation.

Lattice parameters (Å, degrees): 18.335 5.673 5.665 90.00 90.00 90.00
Space group Cmcm (No. 63)
Asymmetric unit:
Sr (0.000, 0.245, 0.250)
Li (0.237, 0.000, 0.000)
Nb (0.115, 0.254, 0.750)
O (0.000, 0.199, 0.750)
O (0.093, 0.500, 0.000)
O (0.117, 0.000, 0.000)
O (0.218, 0.287, 0.750)

Values from the calculation:
Total moment ... 0.00 μB/cell
Calculated total energy ... -91.71 eV per formula unit


6.
DFT (GGA-PBE) results for Sm4PuTe6 after structural relaxation.

Lattice parameters (Å, degrees): 4.381 14.534 22.637 90.00 90.00 90.00
Space group Cmcm (No. 63)
Asymmetric unit:
Sm (0.000, 0.087, 0.127)
Sm (0.000, 0.357, 0.038)
Pu (0.000, 0.157, 0.750)
Te (0.000, 0.000, 0.000)
Te (0.000, 0.184, 0.250)
Te (0.000, 0.269, 0.592)
Te (0.000, 0.446, 0.166)

Values from the calculation:
Total moment ... 22.62 μB/cell
Calculated total energy ... -66.73 eV per formula unit


7.
DFT (GGA-PBE) results for BaNa2Ga after structural relaxation.

Lattice parameters (Å, degrees): 7.955 7.955 7.955 90.00 90.00 90.00
Space group Fm-3m (No. 225)
Asymmetric unit:
Ba (0.000, 0.000, 0.000)
Na (0.250, 0.250, 0.250)
Ga (0.000, 0.000, 0.500)

Values from the calculation:
Total moment ... 0.00 μB/cell
Energy of formation from the pure elements ... 7 meV/atom
Calculated total energy ... -7.56 eV per formula unit
ΔE to the lowest computed polymorph ... 0 meV/atom


8.
DFT (GGA-PBE) results for NaNbI2O after structural relaxation.

Lattice parameters (Å, degrees): 5.613 5.613 4.039 90.00 90.00 90.00
Space group P4/mmm (No. 123)
Asymmetric unit:
Na (0.000, 0.000, 0.000)
Nb (0.500, 0.500, 0.500)
I (0.000, 0.500, 0.000)
O (0.000, 0.000, 0.500)

Values from the calculation:
Total moment ... 3.06 μB/cell
Calculated total energy ... -16.78 eV per formula unit
ΔE to the lowest computed polymorph ... 1547 meV/atom


9.
DFT (GGA-PBE) results for SrSn4Rh after structural relaxation.

Lattice parameters (Å, degrees): 6.885 7.403 7.447 81.78 62.85 89.97
Space group P-1 (No. 2)
Asymmetric unit:
Sr (0.103, 0.250, 0.497)
Sn (0.126, 0.149, 0.022)
Sn (0.314, 0.583, 0.636)
Sn (0.352, 0.650, 0.023)
Sn (0.454, 0.914, 0.363)
Rh (0.000, 0.500, 0.000)
Rh (0.500, 0.000, 0.000)

Values from the calculation:
Total moment ... 0.00 μB/cell
Energy of formation from the pure elements ... -330 meV/atom
Calculated total energy ... -27.02 eV per formula unit


10.
DFT (GGA-PBE) results for HoEr2Bi4 after structural relaxation.

Lattice parameters (Å, degrees): 4.478 11.272 16.966 90.00 90.00 90.00
Space group Cmcm (No. 63)
Asymmetric unit:
Ho (0.000, 0.057, 0.250)
Er (0.000, 0.339, 0.074)
Bi (0.000, 0.000, 0.000)
Bi (0.000, 0.350, 0.250)
Bi (0.000, 0.351, 0.622)

Values from the calculation:
Total moment ... 0.00 μB/cell
Energy of formation from the pure elements ... -556 meV/atom
Calculated total energy ... -33.12 eV per formula unit


11.
DFT (GGA-PBE) results for SrLaTh after structural relaxation.

Lattice parameters (Å, degrees): 3.7519 3.7519 9.6022 90.00 90.00 120.00
Space group P3m1 (No. 156)
Asymmetric unit:
Sr (0.0000, 0.0000, 0.0000)
La (0.3333, 0.6667, 0.6283)
Th (0.6667, 0.3333, 0.3350)

Values from the calculation:
Total moment ... 0.00 μB/cell
Energy of formation from the pure elements ... 175 meV/atom
Calculated total energy ... -13.50 eV per formula unit
ΔE to the lowest computed polymorph ... 12 meV/atom


12.
DFT (GGA-PBE) results for Cu2GeAu2 after structural relaxation.

Lattice parameters (Å, degrees): 3.845 3.845 12.072 90.00 90.00 90.00
Space group I4/mmm (No. 139)
Asymmetric unit:
Cu (0.000, 0.000, 0.097)
Ge (0.000, 0.000, 0.500)
Au (0.000, 0.500, 0.250)

Values from the calculation:
Total moment ... 0.00 μB/cell
Energy of formation from the pure elements ... 250 meV/atom
Calculated total energy ... -18.12 eV per formula unit
ΔE to the lowest computed polymorph ... 213 meV/atom


13.
DFT (GGA-PBE) results for Tb3SiSb after structural relaxation.

Lattice parameters (Å, degrees): 7.311 7.312 8.005 62.86 62.85 60.05
Space group P-1 (No. 2)
Asymmetric unit:
Tb (0.032, 0.412, 0.255)
Tb (0.199, 0.968, 0.745)
Tb (0.411, 0.801, 0.255)
Si (0.167, 0.167, 0.998)
Sb (0.357, 0.357, 0.429)

Values from the calculation:
Total moment ... 0.00 μB/cell
Calculated total energy ... -26.38 eV per formula unit


14.
DFT (GGA-PBE) results for ScCu2As after structural relaxation.

Lattice parameters (Å, degrees): 3.824 3.824 8.641 90.00 90.00 90.00
Space group I4/mmm (No. 139)
Asymmetric unit:
Sc (0.000, 0.000, 0.000)
Cu (0.000, 0.500, 0.250)
As (0.000, 0.000, 0.500)

Values from the calculation:
Total moment ... 0.00 μB/cell
Energy of formation from the pure elements ... -353 meV/atom
Calculated total energy ... -20.59 eV per formula unit


15.
DFT (GGA-PBE) results for Nd6Ge2Te3S after structural relaxation.

Lattice parameters (Å, degrees): 19.236 4.336 8.843 90.00 105.25 90.00
Space group C2/m (No. 12)
Asymmetric unit:
Nd (0.007, 0.000, 0.232)
Nd (0.160, 0.500, 0.098)
Nd (0.172, 0.500, 0.568)
Ge (0.165, 0.000, 0.330)
Te (0.000, 0.500, 0.500)
Te (0.166, 0.000, 0.834)
S (0.000, 0.500, 0.000)

Values from the calculation:
Total moment ... 0.00 μB/cell
Calculated total energy ... -68.29 eV per formula unit


16.
DFT (GGA-PBE) results for Ga2B2P after structural relaxation.

Lattice parameters (Å, degrees): 7.074 7.074 2.712 90.00 90.00 90.00
Space group P4/mbm (No. 127)
Asymmetric unit:
Ga (0.238, 0.262, 0.000)
B (0.079, 0.579, 0.500)
P (0.000, 0.000, 0.000)

Values from the calculation:
Total moment ... 0.00 μB/cell
Energy of formation from the pure elements ... 769 meV/atom
Calculated total energy ... -20.98 eV per formula unit
ΔE to the lowest computed polymorph ... 29 meV/atom


17.
DFT (GGA-PBE) results for LaGa6Fe6 after structural relaxation.

Lattice parameters (Å, degrees): 5.052 8.627 8.752 90.00 90.00 90.00
Space group Immm (No. 71)
Asymmetric unit:
La (0.000, 0.000, 0.000)
Ga (0.000, 0.000, 0.348)
Ga (0.000, 0.338, 0.000)
Ga (0.000, 0.500, 0.306)
Fe (0.000, 0.256, 0.500)
Fe (0.250, 0.250, 0.250)

Values from the calculation:
Total moment ... 22.12 μB/cell
Energy of formation from the pure elements ... -262 meV/atom
Calculated total energy ... -77.27 eV per formula unit


18.
DFT (GGA-PBE) results for Mg2Ag7Sn2Sb after structural relaxation.

Lattice parameters (Å, degrees): 5.972 6.314 13.178 90.00 90.05 90.00
Space group C2/m (No. 12)
Asymmetric unit:
Mg (0.001, 0.000, 0.313)
Ag (0.000, 0.000, 0.000)
Ag (0.243, 0.000, 0.500)
Ag (0.249, 0.249, 0.838)
Sn (0.000, 0.500, 0.316)
Sb (0.000, 0.500, 0.000)

Values from the calculation:
Total moment ... 0.00 μB/cell
Calculated total energy ... -35.61 eV per formula unit


19.
DFT (GGA-PBE) results for LiMn3Ru after structural relaxation.

Lattice parameters (Å, degrees): 4.798 4.798 4.798 90.00 90.00 90.00
Space group Pm-3m (No. 221)
Asymmetric unit:
Li (0.000, 0.000, 0.000)
Mn (0.000, 0.500, 0.500)
Ru (0.500, 0.500, 0.500)

Values from the calculation:
Total moment ... 12.38 μB/cell
Energy of formation from the pure elements ... 960 meV/atom
Calculated total energy ... -33.90 eV per formula unit
ΔE to the lowest computed polymorph ... 0 meV/atom


20.
DFT (GGA-PBE) results for Pr2PaSe3 after structural relaxation.

Lattice parameters (Å, degrees): 7.219 12.514 7.360 90.00 109.13 90.00
Space group C2/m (No. 12)
Asymmetric unit:
Pr (0.000, 0.000, 0.000)
Pr (0.000, 0.160, 0.500)
Pr (0.000, 0.500, 0.500)
Pa (0.000, 0.333, 0.000)
Se (0.237, 0.500, 0.237)
Se (0.247, 0.329, 0.756)

Values from the calculation:
Total moment ... 3.56 μB/cell
Calculated total energy ... -39.12 eV per formula unit